# 1
RbAl2Ga (PBE, relaxed); VASP energy = -2.733 eV/atom; SG = R-3m (166); ΔE_f = 136.8 meV per atom
1.0
-2.310 -3.519 1.105
0.402 -3.675 -2.295
4.748 -4.552 3.996
Al Rb Ga
2 1 1
Direct
0.293 0.293 0.120 Al
0.707 0.707 0.880 Al
0.500 0.500 0.500 Rb
0.000 0.000 0.000 Ga



# 2
KCaAgPb (PBE, relaxed); VASP energy = -2.538 eV/atom; SG = F-43m (216); ΔE_f = -123.8 meV per atom
1.0
-2.695 -0.087 4.683
-4.174 -3.369 0.653
0.453 -4.255 3.299
Ag K Pb Ca
1 1 1 1
Direct
0.000 0.000 0.000 Ag
0.750 0.750 0.750 K
0.250 0.250 0.250 Pb
0.500 0.500 0.500 Ca



# 3
CsLiCd2I6 (PBE, relaxed); VASP energy = -2.277 eV/atom; SG = C2/c (15); E_form (uncorrected) = -0.887 eV/atom
1.0
-4.270 -5.978 -5.650
6.216 -2.178 -9.083
3.169 -10.559 2.087
Cd I Cs Li
4 12 2 2
Direct
0.853 0.635 0.788 Cd
0.353 0.788 0.635 Cd
0.147 0.365 0.212 Cd
0.647 0.212 0.365 Cd
0.456 0.894 0.383 I
0.827 0.046 0.165 I
0.617 0.589 0.697 I
0.883 0.303 0.411 I
0.544 0.106 0.617 I
0.044 0.617 0.106 I
0.383 0.411 0.303 I
0.673 0.835 0.954 I
0.327 0.165 0.046 I
0.117 0.697 0.589 I
0.956 0.383 0.894 I
0.173 0.954 0.835 I
0.250 0.815 0.185 Cs
0.750 0.185 0.815 Cs
0.250 0.183 0.817 Li
0.750 0.817 0.183 Li